The following is a DFT calculation (GGA-PBEsol) of a relaxed BaAsOs2 crystal.

The space group is Pmm2 (No. 25) and the conventional cell measures 2.936, 3.720 and 7.378 Å, with angles of 90.00, 90.00 and 90.00 degrees. Symmetry generates all atoms from Ba at (0.000, 0.000, 0.000), As at (0.500, 0.500, 0.671), Os at (0.000, 0.000, 0.481) and Os at (0.500, 0.500, 0.331).

The raw total energy comes out at -30.10 eV/cell. As for the crystal system: orthorhombic. The magnetic moment is 0.000 μB per formula unit.